No. 1
CaLa3: optimized geometry, GGA-PBE.

ΔE_f (eV per atom): 0.036
Total moment (μB per atom): 0.000

Cell: 12.524 3.735 6.575 Å, 90.00 99.77 90.00°
Space group C2/m (No. 12)
One atom of each set of equivalent atoms:
Ca: 0.000 0.000 0.000 x2
La: 0.000 0.500 0.500 x2
La: 0.245 0.000 0.736 x4



No. 2
Tm2ZnS4: optimized geometry, GGA-PBE.

Relative energy among the computed polymorphs (meV/atom): 19.1
Total moment (μB per atom): 0.000
E_form (uncorrected) (eV per atom): -1.683

Cell: 10.910 10.910 10.910 Å, 90.00 90.00 90.00°
Space group Fd-3m (No. 227, origin choice 2)
One atom of each set of equivalent atoms:
Tm: 0.000 0.000 0.000 x16
Zn: 0.125 0.125 0.625 x8
S: 0.003 0.003 0.247 x32



No. 3
Ba3CaO4: optimized geometry, GGA-PBE.

Total moment (μB per atom): 0.000
E_form (uncorrected) (eV per atom): -2.466

Cell: 5.474 5.474 5.474 Å, 90.00 90.00 90.00°
Space group Pm-3m (No. 221)
One atom of each set of equivalent atoms:
Ba: 0.000 0.000 0.500 x3
Ca: 0.500 0.500 0.500 x1
O: 0.000 0.000 0.000 x1
O: 0.000 0.500 0.500 x3



No. 4
PmZrTlZn: optimized geometry, GGA-PBE.

ΔE_f (eV per atom): -0.151
Total moment (μB per atom): 0.000

Cell: 7.257 7.257 7.257 Å, 90.00 90.00 90.00°
Space group F-43m (No. 216)
One atom of each set of equivalent atoms:
Pm: 0.000 0.000 0.000 x4
Zr: 0.000 0.000 0.500 x4
Tl: 0.250 0.250 0.750 x4
Zn: 0.250 0.250 0.250 x4



No. 5
TmZr2Pd7: optimized geometry, GGA-PBE.

ΔE_f (eV per atom): -0.578
Total moment (μB per atom): 0.000

Cell: 3.989 3.989 23.889 Å, 90.00 90.00 90.00°
Space group I4/mmm (No. 139)
One atom of each set of equivalent atoms:
Tm: 0.000 0.000 0.000 x2
Zr: 0.000 0.000 0.331 x4
Pd: 0.000 0.000 0.500 x2
Pd: 0.000 0.500 0.091 x8
Pd: 0.000 0.500 0.250 x4



No. 6
KRb2PaCl8: optimized geometry, GGA-PBE.

Total moment (μB per atom): 0.017
E_form (uncorrected) (eV per atom): -1.886

Cell: 7.056 9.937 7.413 Å, 90.00 92.47 90.00°
Space group P2/m (No. 10)
One atom of each set of equivalent atoms:
K: 0.000 0.000 0.000 x1
Rb: 0.500 0.231 0.500 x2
Pa: 0.000 0.500 0.000 x1
Cl: 0.161 0.316 0.819 x4
Cl: 0.281 0.500 0.233 x2
Cl: 0.304 0.000 0.281 x2



No. 7
TiTl: optimized geometry, GGA-PBE.

ΔE_f (eV per atom): 0.252
Total moment (μB per atom): 0.483

Cell: 5.498 6.004 10.198 Å, 90.00 90.00 90.00°
Space group P2_12_12_1 (No. 19)
One atom of each set of equivalent atoms:
Ti: 0.148 0.007 0.126 x4
Ti: 0.152 0.252 0.875 x4
Tl: 0.123 0.758 0.871 x4
Tl: 0.133 0.488 0.127 x4



No. 8
YSc3Te6: optimized geometry, GGA-PBE.

Total moment (μB per atom): 0.000
E_form (uncorrected) (eV per atom): -1.238

Cell: 12.064 4.195 12.334 Å, 90.00 109.43 90.00°
Space group P2_1/m (No. 11)
One atom of each set of equivalent atoms:
Y: 0.048 0.250 0.200 x2
Sc: 0.156 0.250 0.582 x2
Sc: 0.316 0.750 0.997 x2
Sc: 0.436 0.250 0.338 x2
Te: 0.083 0.750 0.406 x2
Te: 0.116 0.250 0.969 x2
Te: 0.198 0.750 0.749 x2
Te: 0.262 0.750 0.224 x2
Te: 0.391 0.250 0.561 x2
Te: 0.479 0.250 0.117 x2



No. 9
RbU4Se6: optimized geometry, GGA-PBE.

Relative energy among the computed polymorphs (meV/atom): 283.8
Total moment (μB per atom): 0.465
E_form (uncorrected) (eV per atom): -0.807

Cell: 7.633 7.633 10.123 Å, 90.00 90.00 90.00°
Space group I-42m (No. 121)
One atom of each set of equivalent atoms:
Rb: 0.000 0.000 0.000 x2
U: 0.149 0.149 0.567 x8
Se: 0.000 0.500 0.000 x4
Se: 0.176 0.176 0.274 x8



No. 10
U2Zn15Ag2: optimized geometry, GGA-PBE.

ΔE_f (eV per atom): -0.037
Total moment (μB per atom): 0.290

Cell: 9.0432 9.0432 13.2498 Å, 90.00 90.00 120.00°
Space group R-3m (No. 166, hexagonal axes)
One atom of each set of equivalent atoms:
U: 0.0000 0.0000 0.1546 x6
Zn: 0.0000 0.2969 0.5000 x18
Zn: 0.0000 0.5000 0.0000 x9
Zn: 0.0093 0.5046 0.6512 x18
Ag: 0.0000 0.0000 0.3923 x6



No. 11
BiPb2S4: optimized geometry, GGA-PBE.

Relative energy among the computed polymorphs (meV/atom): 0.0
Total moment (μB per atom): 0.000
E_form (uncorrected) (eV per atom): -0.336

Cell: 8.368 11.392 4.119 Å, 90.00 90.00 90.00°
Space group Cmmm (No. 65)
One atom of each set of equivalent atoms:
Bi: 0.000 0.000 0.000 x2
Pb: 0.250 0.250 0.500 x4
S: 0.000 0.250 0.000 x4
S: 0.236 0.000 0.500 x4



No. 12
Zr2BrCl: optimized geometry, GGA-PBE.

Relative energy among the computed polymorphs (meV/atom): 674.5
Total moment (μB per atom): 0.000
E_form (uncorrected) (eV per atom): -0.459

Cell: 3.124 4.596 6.157 Å, 90.00 90.00 90.00°
Space group Pmmm (No. 47)
One atom of each set of equivalent atoms:
Zr: 0.000 0.000 0.000 x1
Zr: 0.500 0.000 0.500 x1
Br: 0.000 0.500 0.500 x1
Cl: 0.500 0.500 0.000 x1



No. 13
Tc2RuCl: optimized geometry, GGA-PBE.

Relative energy among the computed polymorphs (meV/atom): 329.2
Total moment (μB per atom): 0.000
E_form (uncorrected) (eV per atom): 0.611

Cell: 2.871 4.438 8.893 Å, 90.00 90.00 90.00°
Space group Imm2 (No. 44)
One atom of each set of equivalent atoms:
Tc: 0.000 0.000 0.000 x2
Tc: 0.000 0.500 0.228 x2
Ru: 0.000 0.000 0.456 x2
Cl: 0.000 0.500 0.724 x2



No. 14
Sr2H2O3: optimized geometry, GGA-PBE.

Relative energy among the computed polymorphs (meV/atom): 0.0
Total moment (μB per atom): 0.011

Cell: 3.7861 3.7861 8.6618 Å, 90.00 90.00 120.00°
Space group P-3m1 (No. 164)
One atom of each set of equivalent atoms:
Sr: 0.3333 0.6667 0.1724 x2
H: 0.3333 0.6667 0.5722 x2
O: 0.0000 0.0000 0.0000 x1
O: 0.3333 0.6667 0.6843 x2



No. 15
Ca2AcMg2Tl2: optimized geometry, GGA-PBE.

ΔE_f (eV per atom): -0.243
Total moment (μB per atom): 0.000

Cell: 5.0963 5.0963 29.0193 Å, 90.00 90.00 120.00°
Space group R-3m (No. 166, hexagonal axes)
One atom of each set of equivalent atoms:
Ca: 0.0000 0.0000 0.1323 x6
Ac: 0.0000 0.0000 0.0000 x3
Mg: 0.0000 0.0000 0.4096 x6
Tl: 0.0000 0.0000 0.2571 x6



No. 16
BaIn4Ga: optimized geometry, GGA-PBE.

ΔE_f (eV per atom): -0.252
Relative energy among the computed polymorphs (meV/atom): 0.0
Total moment (μB per atom): 0.000

Cell: 4.764 18.594 7.824 Å, 90.00 90.00 90.00°
Space group Cmcm (No. 63)
One atom of each set of equivalent atoms:
Ba: 0.000 0.119 0.250 x4
In: 0.000 0.071 0.750 x4
In: 0.000 0.323 0.054 x8
In: 0.000 0.500 0.000 x4
Ga: 0.000 0.230 0.750 x4



No. 17
PrNd12Tm7: optimized geometry, GGA-PBE.

ΔE_f (eV per atom): 0.677
Relative energy among the computed polymorphs (meV/atom): 580.0
Total moment (μB per atom): 0.000

Cell: 11.541 11.541 11.541 Å, 90.00 90.00 90.00°
Space group Im-3 (No. 204)
One atom of each set of equivalent atoms:
Pr: 0.000 0.000 0.000 x2
Nd: 0.000 0.283 0.233 x24
Tm: 0.000 0.000 0.500 x6
Tm: 0.250 0.250 0.250 x8



No. 18
CaLuAgIr: optimized geometry, GGA-PBE.

ΔE_f (eV per atom): -0.461
Total moment (μB per atom): 0.000

Cell: 6.950 6.950 6.950 Å, 90.00 90.00 90.00°
Space group F-43m (No. 216)
One atom of each set of equivalent atoms:
Ca: 0.000 0.000 0.000 x4
Lu: 0.000 0.000 0.500 x4
Ag: 0.250 0.250 0.750 x4
Ir: 0.250 0.250 0.250 x4



No. 19
La2NiPtN: optimized geometry, GGA-PBE.

Relative energy among the computed polymorphs (meV/atom): 7.7
Total moment (μB per atom): 0.000
E_form (uncorrected) (eV per atom): -0.952

Cell: 5.156 5.156 3.704 Å, 90.00 90.00 90.00°
Space group P4/mmm (No. 123)
One atom of each set of equivalent atoms:
La: 0.000 0.500 0.000 x2
Ni: 0.000 0.000 0.500 x1
Pt: 0.500 0.500 0.500 x1
N: 0.000 0.000 0.000 x1



No. 20
YZr2Nb: optimized geometry, GGA-PBE.

ΔE_f (eV per atom): 0.240
Relative energy among the computed polymorphs (meV/atom): 141.7
Total moment (μB per atom): 0.000

Cell: 3.2434 3.2434 31.2645 Å, 90.00 90.00 120.00°
Space group R-3m (No. 166, hexagonal axes)
One atom of each set of equivalent atoms:
Y: 0.0000 0.0000 0.0000 x3
Zr: 0.0000 0.0000 0.2417 x6
Nb: 0.0000 0.0000 0.5000 x3